Compound: AcYNi2
Source: Alexandria via LeMat-Bulk
Functional: GGA-PBE
Structure: relaxed

Summary:
The energy above the most stable polymorph in this dataset comes out at 0.129 eV per atom. For the formation energy, the calculation gives -0.1828 eV/atom. The raw total energy is -22.9 eV/cell. The calculated volume is 22.3 Å³/atom. Its crystal system is cubic. Its density of states at the Fermi level is 4.263 states/eV per cell.

a b c (Å): 5.013 5.013 5.013
angles (deg): 60.00 60.00 60.00
Sites, in units of the cell vectors:
Y (0.500, 0.500, 0.500)
Ni (0.750, 0.750, 0.750)
Ac (0.000, 0.000, 0.000)
Ni (0.250, 0.250, 0.250)

***

Compound: AcYNi
Source: Alexandria via LeMat-Bulk
Functional: GGA-PBE
Structure: relaxed

Summary:
The energy above the most stable polymorph in this dataset comes out at 0.000 eV per atom. For the formation energy, the calculation gives -0.1526 eV/atom. The raw total energy is -33.6 eV/cell. The calculated volume is 30.0 Å³/atom. Its crystal system is orthorhombic. Its density of states at the Fermi level is 5.853 states/eV per cell.

a b c (Å): 4.101 6.535 6.716
angles (deg): 90.00 90.00 90.00
Sites, in units of the cell vectors:
Y (0.500, 0.250, 0.150)
Y (0.500, 0.750, 0.850)
Ni (0.000, 0.000, 0.000)
Ac (0.000, 0.250, 0.650)
Ni (0.000, 0.500, 0.000)
Ac (0.000, 0.750, 0.350)

***

Compound: AcYNi
Source: Alexandria via LeMat-Bulk
Functional: GGA-PBE
Structure: relaxed

Summary:
The energy above the most stable polymorph in this dataset comes out at 0.034 eV per atom. For the formation energy, the calculation gives -0.1181 eV/atom. The raw total energy is -16.7 eV/cell. The calculated volume is 27.9 Å³/atom. Its crystal system is tetragonal. Its density of states at the Fermi level is 3.777 states/eV per cell.

a b c (Å): 3.595 3.595 6.966
angles (deg): 104.96 104.96 90.00
Sites, in units of the cell vectors:
Y (0.290, 0.290, 0.580)
Ac (0.029, 0.029, 0.058)
Ni (0.681, 0.681, 0.362)

***

Compound: Ac12YNi7
Source: Alexandria via LeMat-Bulk
Functional: GGA-PBE
Structure: relaxed

Summary:
For the formation energy, the calculation gives -0.1504 eV/atom. The raw total energy is -99.2 eV/cell. The calculated volume is 34.2 Å³/atom. Its crystal system is trigonal. Its density of states at the Fermi level is 19.599 states/eV per cell.

a b c (Å): 9.398 9.398 9.398
angles (deg): 107.43 107.43 107.43
Sites, in units of the cell vectors:
Ac (0.375, 0.450, 0.154)
Ac (0.926, 0.313, 0.778)
Ni (0.888, 0.969, 0.660)
Ac (0.550, 0.846, 0.625)
Ni (0.969, 0.660, 0.888)
Ac (0.313, 0.778, 0.926)
Ni (0.500, 0.500, 0.500)
Ac (0.778, 0.926, 0.313)
Ac (0.625, 0.550, 0.846)
Ni (0.340, 0.112, 0.031)
Ac (0.154, 0.375, 0.450)
Ac (0.074, 0.687, 0.222)
Ac (0.687, 0.222, 0.074)
Ac (0.846, 0.625, 0.550)
Y (0.000, 0.000, 0.000)
Ni (0.660, 0.888, 0.969)
Ac (0.450, 0.154, 0.375)
Ni (0.112, 0.031, 0.340)
Ni (0.031, 0.340, 0.112)
Ac (0.222, 0.074, 0.687)

***

Compound: AcYZnNi
Source: Alexandria via LeMat-Bulk
Functional: GGA-PBE
Structure: relaxed

Summary:
For the formation energy, the calculation gives -0.1899 eV/atom. The raw total energy is -18.4 eV/cell. The calculated volume is 24.5 Å³/atom. Its crystal system is cubic. Its density of states at the Fermi level is 3.509 states/eV per cell.

a b c (Å): 5.173 5.173 5.173
angles (deg): 60.00 60.00 60.00
Sites, in units of the cell vectors:
Ni (0.000, 0.000, 0.000)
Zn (0.500, 0.500, 0.500)
Ac (0.750, 0.750, 0.750)
Y (0.250, 0.250, 0.250)

***

Compound: AcZn2Ni2
Source: Alexandria via LeMat-Bulk
Functional: GGA-PBE
Structure: relaxed

Summary:
The energy above the most stable polymorph in this dataset comes out at 0.021 eV per atom. For the formation energy, the calculation gives -0.2725 eV/atom. The raw total energy is -39.2 eV/cell. The calculated volume is 18.7 Å³/atom. Its crystal system is orthorhombic. Its density of states at the Fermi level is 7.182 states/eV per cell.

a b c (Å): 4.469 4.469 9.382
angles (deg): 90.00 90.00 90.41
Sites, in units of the cell vectors:
Ni (0.206, 0.794, 0.000)
Zn (0.290, 0.290, 0.394)
Zn (0.290, 0.290, 0.106)
Ni (0.794, 0.206, 0.500)
Ni (0.794, 0.206, 0.000)
Zn (0.710, 0.710, 0.606)
Ac (0.770, 0.770, 0.250)
Ni (0.206, 0.794, 0.500)
Zn (0.710, 0.710, 0.894)
Ac (0.230, 0.230, 0.750)

***

Compound: Ac2ZnNi2
Source: Alexandria via LeMat-Bulk
Functional: GGA-PBE
Structure: relaxed

Summary:
The energy above the most stable polymorph in this dataset comes out at 0.000 eV per atom. For the formation energy, the calculation gives -0.2616 eV/atom. The raw total energy is -44.7 eV/cell. The calculated volume is 22.8 Å³/atom. Its crystal system is monoclinic. Its density of states at the Fermi level is 7.599 states/eV per cell.

a b c (Å): 5.789 5.823 8.065
angles (deg): 102.47 90.00 119.80
Sites, in units of the cell vectors:
Ni (0.003, 0.721, 0.994)
Zn (0.868, 0.000, 0.250)
Ni (0.997, 0.279, 0.006)
Ni (0.282, 0.279, 0.506)
Ac (0.496, 0.294, 0.146)
Ac (0.798, 0.294, 0.646)
Ni (0.718, 0.721, 0.494)
Ac (0.202, 0.706, 0.354)
Zn (0.132, 0.000, 0.750)
Ac (0.504, 0.706, 0.854)

***

Compound: Ac5Zn5Ni2
Source: Alexandria via LeMat-Bulk
Functional: GGA-PBE
Structure: relaxed

Summary:
For the formation energy, the calculation gives -0.2537 eV/atom. The raw total energy is -41.5 eV/cell. The calculated volume is 27.1 Å³/atom. Its crystal system is monoclinic. Its density of states at the Fermi level is 9.391 states/eV per cell.

a b c (Å): 4.372 8.596 9.209
angles (deg): 87.38 76.27 75.27
Sites, in units of the cell vectors:
Ni (0.848, 0.539, 0.766)
Zn (0.000, 0.000, 0.000)
Ac (0.695, 0.921, 0.689)
Zn (0.749, 0.318, 0.183)
Zn (0.052, 0.240, 0.657)
Zn (0.948, 0.760, 0.343)
Ac (0.385, 0.312, 0.919)
Ni (0.152, 0.461, 0.234)
Zn (0.251, 0.682, 0.817)
Ac (0.615, 0.688, 0.081)
Ac (0.305, 0.079, 0.311)
Ac (0.500, 0.500, 0.500)

***

Compound: Ac2ZnNi
Source: Alexandria via LeMat-Bulk
Functional: GGA-PBE
Structure: relaxed

Summary:
For the formation energy, the calculation gives -0.2268 eV/atom. The raw total energy is -16.2 eV/cell. The calculated volume is 28.4 Å³/atom. Its crystal system is orthorhombic. Its density of states at the Fermi level is 3.695 states/eV per cell.

a b c (Å): 4.579 4.229 6.242
angles (deg): 109.80 90.00 90.00
Sites, in units of the cell vectors:
Ac (0.500, 0.259, 0.518)
Zn (0.000, 0.685, 0.371)
Ni (0.500, 0.573, 0.145)
Ac (0.000, 0.982, 0.965)

***

Compound: Ac3Zn5Ni6
Source: Alexandria via LeMat-Bulk
Functional: GGA-PBE
Structure: relaxed

Summary:
For the formation energy, the calculation gives -0.2921 eV/atom. The raw total energy is -57.5 eV/cell. The calculated volume is 18.5 Å³/atom. Its crystal system is orthorhombic. Its density of states at the Fermi level is 8.803 states/eV per cell.

a b c (Å): 4.261 8.217 8.217
angles (deg): 71.56 74.97 74.97
Sites, in units of the cell vectors:
Ni (0.103, 0.618, 0.175)
Zn (0.680, 0.646, 0.995)
Ni (0.897, 0.382, 0.825)
Zn (0.000, 0.500, 0.500)
Ni (0.500, 0.291, 0.709)
Zn (0.320, 0.005, 0.354)
Ac (0.686, 0.314, 0.314)
Ac (0.000, 0.000, 0.000)
Ac (0.314, 0.686, 0.686)
Ni (0.103, 0.175, 0.618)
Ni (0.500, 0.709, 0.291)
Zn (0.680, 0.995, 0.646)
Ni (0.897, 0.825, 0.382)
Zn (0.320, 0.354, 0.005)

***

Compound: Ac2Zn2Ni15
Source: Alexandria via LeMat-Bulk
Functional: GGA-PBE
Structure: relaxed

Summary:
For the formation energy, the calculation gives -0.1646 eV/atom. The raw total energy is -100.6 eV/cell. The calculated volume is 13.7 Å³/atom. Its crystal system is trigonal. Its density of states at the Fermi level is 24.097 states/eV per cell.

a b c (Å): 6.435 6.435 6.435
angles (deg): 82.93 82.93 82.93
Sites, in units of the cell vectors:
Ni (0.000, 0.000, 0.500)
Ni (0.000, 0.712, 0.288)
Ni (0.150, 0.660, 0.660)
Ni (0.000, 0.288, 0.712)
Ni (0.288, 0.000, 0.712)
Ni (0.000, 0.500, 0.000)
Ni (0.850, 0.340, 0.340)
Ni (0.712, 0.000, 0.288)
Ni (0.712, 0.288, 0.000)
Ni (0.340, 0.850, 0.340)
Ni (0.660, 0.660, 0.150)
Zn (0.903, 0.903, 0.903)
Ni (0.288, 0.712, 0.000)
Ni (0.660, 0.150, 0.660)
Zn (0.097, 0.097, 0.097)
Ni (0.340, 0.340, 0.850)
Ni (0.500, 0.000, 0.000)
Ac (0.347, 0.347, 0.347)
Ac (0.653, 0.653, 0.653)

***

Compound: Ac4Zn5Ni2
Source: Alexandria via LeMat-Bulk
Functional: GGA-PBE
Structure: relaxed

Summary:
For the formation energy, the calculation gives -0.2249 eV/atom. The raw total energy is -36.8 eV/cell. The calculated volume is 25.4 Å³/atom. Its crystal system is monoclinic. Its density of states at the Fermi level is 7.106 states/eV per cell.

a b c (Å): 4.084 7.327 9.375
angles (deg): 95.11 90.00 90.00
Sites, in units of the cell vectors:
Ac (0.500, 0.753, 0.561)
Ni (0.000, 0.066, 0.633)
Ni (0.000, 0.934, 0.367)
Zn (0.000, 0.200, 0.158)
Ac (0.500, 0.173, 0.861)
Ac (0.500, 0.827, 0.139)
Zn (0.000, 0.440, 0.704)
Ac (0.500, 0.247, 0.439)
Zn (0.000, 0.800, 0.842)
Zn (0.000, 0.560, 0.296)
Zn (0.000, 0.500, 0.000)

***

Compound: Ac3Zn9Ni2
Source: Alexandria via LeMat-Bulk
Functional: GGA-PBE
Structure: relaxed

Summary:
For the formation energy, the calculation gives -0.2591 eV/atom. The raw total energy is -39.0 eV/cell. The calculated volume is 20.3 Å³/atom. Its crystal system is orthorhombic. Its density of states at the Fermi level is 6.453 states/eV per cell.

a b c (Å): 4.460 8.438 8.438
angles (deg): 71.13 74.68 74.68
Sites, in units of the cell vectors:
Ni (0.500, 0.709, 0.291)
Ac (0.309, 0.691, 0.691)
Zn (0.886, 0.399, 0.829)
Zn (0.338, 0.313, 0.010)
Ni (0.500, 0.291, 0.709)
Zn (0.662, 0.687, 0.990)
Ac (0.691, 0.309, 0.309)
Zn (0.338, 0.010, 0.313)
Zn (0.662, 0.990, 0.687)
Zn (0.114, 0.171, 0.601)
Zn (0.000, 0.500, 0.500)
Zn (0.886, 0.829, 0.399)
Ac (0.000, 0.000, 0.000)
Zn (0.114, 0.601, 0.171)

***

Compound: Ac2Zn12Ni5
Source: Alexandria via LeMat-Bulk
Functional: GGA-PBE
Structure: relaxed

Summary:
For the formation energy, the calculation gives -0.2448 eV/atom. The raw total energy is -57.1 eV/cell. The calculated volume is 16.2 Å³/atom. Its crystal system is trigonal. Its density of states at the Fermi level is 9.901 states/eV per cell.

a b c (Å): 6.780 6.780 6.780
angles (deg): 84.61 84.61 84.61
Sites, in units of the cell vectors:
Zn (0.336, 0.336, 0.869)
Ni (0.000, 0.000, 0.500)
Zn (0.664, 0.131, 0.664)
Zn (0.336, 0.869, 0.336)
Ni (0.500, 0.000, 0.000)
Ac (0.659, 0.659, 0.659)
Zn (0.664, 0.664, 0.131)
Zn (0.000, 0.278, 0.722)
Zn (0.278, 0.000, 0.722)
Ni (0.103, 0.103, 0.103)
Zn (0.722, 0.000, 0.278)
Zn (0.000, 0.722, 0.278)
Zn (0.722, 0.278, 0.000)
Ac (0.341, 0.341, 0.341)
Ni (0.000, 0.500, 0.000)
Zn (0.131, 0.664, 0.664)
Zn (0.278, 0.722, 0.000)
Ni (0.897, 0.897, 0.897)
Zn (0.869, 0.336, 0.336)

***

Compound: Ac2Zn15Ni2
Source: Alexandria via LeMat-Bulk
Functional: GGA-PBE
Structure: relaxed

Summary:
For the formation energy, the calculation gives -0.2157 eV/atom. The raw total energy is -43.0 eV/cell. The calculated volume is 17.1 Å³/atom. Its crystal system is trigonal. Its density of states at the Fermi level is 7.397 states/eV per cell.

a b c (Å): 6.931 6.931 6.931
angles (deg): 82.57 82.57 82.57
Sites, in units of the cell vectors:
Zn (0.000, 0.274, 0.726)
Zn (0.000, 0.000, 0.500)
Zn (0.500, 0.000, 0.000)
Ac (0.338, 0.338, 0.338)
Ac (0.662, 0.662, 0.662)
Zn (0.341, 0.851, 0.341)
Zn (0.341, 0.341, 0.851)
Ni (0.900, 0.900, 0.900)
Zn (0.149, 0.659, 0.659)
Ni (0.100, 0.100, 0.100)
Zn (0.851, 0.341, 0.341)
Zn (0.659, 0.149, 0.659)
Zn (0.659, 0.659, 0.149)
Zn (0.274, 0.726, 0.000)
Zn (0.000, 0.500, 0.000)
Zn (0.726, 0.274, 0.000)
Zn (0.726, 0.000, 0.274)
Zn (0.000, 0.726, 0.274)
Zn (0.274, 0.000, 0.726)

***

Compound: Ac5ZnNi2
Source: Alexandria via LeMat-Bulk
Functional: GGA-PBE
Structure: relaxed

Summary:
For the formation energy, the calculation gives -0.1533 eV/atom. The raw total energy is -69.2 eV/cell. The calculated volume is 31.0 Å³/atom. Its crystal system is tetragonal. Its density of states at the Fermi level is 19.008 states/eV per cell.

a b c (Å): 8.334 8.333 9.254
angles (deg): 116.76 116.76 90.00
Sites, in units of the cell vectors:
Ni (0.623, 0.123, 0.000)
Ac (0.023, 0.523, 0.724)
Ac (0.500, 0.500, 0.000)
Ac (0.477, 0.299, 0.276)
Ac (0.799, 0.977, 0.276)
Ac (0.701, 0.201, 0.724)
Ac (0.000, 0.000, 0.000)
Ac (0.201, 0.023, 0.724)
Ni (0.123, 0.377, 0.000)
Ac (0.523, 0.701, 0.724)
Ni (0.377, 0.877, 0.000)
Ni (0.877, 0.623, 0.000)
Zn (0.750, 0.750, 0.500)
Ac (0.299, 0.799, 0.276)
Ac (0.977, 0.477, 0.276)
Zn (0.250, 0.250, 0.500)

***

Compound: Ac2Zn5Ni12
Source: Alexandria via LeMat-Bulk
Functional: GGA-PBE
Structure: relaxed

Summary:
For the formation energy, the calculation gives -0.2008 eV/atom. The raw total energy is -87.8 eV/cell. The calculated volume is 14.2 Å³/atom. Its crystal system is trigonal. Its density of states at the Fermi level is 16.270 states/eV per cell.

a b c (Å): 6.519 6.519 6.519
angles (deg): 82.64 82.64 82.64
Sites, in units of the cell vectors:
Ni (0.291, 0.709, 0.000)
Ni (0.340, 0.340, 0.849)
Zn (0.905, 0.905, 0.905)
Ni (0.000, 0.291, 0.709)
Zn (0.095, 0.095, 0.095)
Ni (0.151, 0.660, 0.660)
Zn (0.000, 0.500, 0.000)
Ni (0.709, 0.291, 0.000)
Ni (0.660, 0.660, 0.151)
Ni (0.340, 0.849, 0.340)
Ni (0.000, 0.709, 0.291)
Ac (0.350, 0.350, 0.350)
Zn (0.500, 0.000, 0.000)
Ni (0.709, 0.000, 0.291)
Ni (0.291, 0.000, 0.709)
Ni (0.849, 0.340, 0.340)
Ac (0.650, 0.650, 0.650)
Zn (0.000, 0.000, 0.500)
Ni (0.660, 0.151, 0.660)

***

Compound: Ac2ZnNi
Source: Alexandria via LeMat-Bulk
Functional: GGA-PBE
Structure: relaxed

Summary:
For the formation energy, the calculation gives -0.1413 eV/atom. The raw total energy is -15.8 eV/cell. The calculated volume is 31.2 Å³/atom. Its crystal system is trigonal. Its density of states at the Fermi level is 3.119 states/eV per cell.

a b c (Å): 4.315 4.315 8.142
angles (deg): 74.63 74.63 60.00
Sites, in units of the cell vectors:
Ni (0.665, 0.665, 0.004)
Zn (0.500, 0.500, 0.499)
Ac (0.070, 0.070, 0.789)
Ac (0.264, 0.264, 0.208)

***

Compound: Ac6ZnNi2
Source: Alexandria via LeMat-Bulk
Functional: GGA-PBE
Structure: relaxed

Summary:
For the formation energy, the calculation gives -0.1518 eV/atom. The raw total energy is -77.7 eV/cell. The calculated volume is 32.9 Å³/atom. Its crystal system is orthorhombic. Its density of states at the Fermi level is 18.739 states/eV per cell.

a b c (Å): 9.178 9.178 9.178
angles (deg): 106.17 108.93 113.39
Sites, in units of the cell vectors:
Ac (0.685, 0.014, 0.329)
Ac (0.468, 0.292, 0.176)
Ac (0.811, 0.769, 0.580)
Zn (0.000, 0.000, 0.000)
Ac (0.685, 0.356, 0.671)
Ac (0.811, 0.231, 0.042)
Ni (0.500, 0.620, 0.120)
Ac (0.189, 0.231, 0.420)
Zn (0.000, 0.500, 0.500)
Ac (0.315, 0.986, 0.671)
Ac (0.117, 0.292, 0.824)
Ni (0.500, 0.380, 0.880)
Ac (0.189, 0.769, 0.958)
Ni (0.347, 0.000, 0.347)
Ni (0.653, 0.000, 0.653)
Ac (0.883, 0.708, 0.176)
Ac (0.532, 0.708, 0.824)
Ac (0.315, 0.644, 0.329)

***

Compound: Ac5Zn4Ni
Source: Alexandria via LeMat-Bulk
Functional: GGA-PBE
Structure: relaxed

Summary:
For the formation energy, the calculation gives -0.2224 eV/atom. The raw total energy is -33.6 eV/cell. The calculated volume is 29.0 Å³/atom. Its crystal system is tetragonal. Its density of states at the Fermi level is 8.253 states/eV per cell.

a b c (Å): 3.865 3.865 19.405
angles (deg): 90.00 90.00 90.00
Sites, in units of the cell vectors:
Ac (0.500, 0.500, 0.703)
Ni (0.000, 0.000, 0.000)
Ac (0.500, 0.500, 0.297)
Zn (0.000, 0.000, 0.804)
Ac (0.500, 0.500, 0.500)
Zn (0.000, 0.000, 0.398)
Zn (0.000, 0.000, 0.196)
Zn (0.000, 0.000, 0.602)
Ac (0.500, 0.500, 0.909)
Ac (0.500, 0.500, 0.091)